1.
Material: SrCa2AgPd
Method: DFT, PBE
State: optimized geometry

Computed properties:
The total DFT energy (no corrections) is -14.86 eV for the cell shown. The calculation puts the formation energy at -227 meV per atom. As for the magnetic moment: 0.00 μB per formula unit.

```
data_SrCa2AgPd
_chemical_formula_sum 'Sr1 Ca2 Ag1 Pd1'
_symmetry_space_group_name_H-M 'P 4/m m m'
_symmetry_Int_Tables_number 123
_symmetry_space_group_name_Hall '-P 4 2'
_cell_length_a 5.504
_cell_length_b 5.504
_cell_length_c 5.863
_cell_angle_alpha 90.00
_cell_angle_beta 90.00
_cell_angle_gamma 90.00
loop_
_atom_site_label
_atom_site_type_symbol
_atom_site_fract_x
_atom_site_fract_y
_atom_site_fract_z
Sr1 Sr 0.000 0.000 0.000
Ca1 Ca 0.000 0.500 0.500
Ag1 Ag 0.500 0.500 0.000
Pd1 Pd 0.000 0.000 0.500
```

***

2.
Material: LaDy2TmSc4
Method: DFT, PBE
State: optimized geometry

Computed properties:
The total DFT energy (no corrections) is -161.88 eV for the cell shown. The calculation puts the formation energy at 432 meV per atom. As for the magnetic moment: 3.01 μB per formula unit.

```
data_LaDy2TmSc4
_chemical_formula_sum 'La4 Dy8 Tm4 Sc16'
_symmetry_space_group_name_H-M 'I m m a'
_symmetry_Int_Tables_number 74
_symmetry_space_group_name_Hall '-I 2b 2'
_cell_length_a 6.537
_cell_length_b 11.292
_cell_length_c 12.644
_cell_angle_alpha 90.00
_cell_angle_beta 90.00
_cell_angle_gamma 90.00
loop_
_atom_site_label
_atom_site_type_symbol
_atom_site_fract_x
_atom_site_fract_y
_atom_site_fract_z
La1 La 0.000 0.000 0.000
Dy1 Dy 0.000 0.000 0.500
Dy2 Dy 0.250 0.250 0.250
Tm1 Tm 0.250 0.250 0.750
Sc1 Sc 0.000 0.002 0.751
Sc2 Sc 0.248 0.250 0.502
```

***

3.
Material: OsRu2
Method: DFT, PBE
State: optimized geometry

Computed properties:
The calculation puts the offset from the most stable computed form at 1 meV per atom. The total DFT energy (no corrections) is -119.23 eV for the cell shown. The calculation puts the formation energy at -9 meV per atom. As for the magnetic moment: 0.00 μB per formula unit.

```
data_OsRu2
_chemical_formula_sum 'Os4 Ru8'
_symmetry_space_group_name_H-M 'P n m a'
_symmetry_Int_Tables_number 62
_symmetry_space_group_name_Hall '-P 2ac 2n'
_cell_length_a 4.735
_cell_length_b 4.325
_cell_length_c 8.202
_cell_angle_alpha 90.00
_cell_angle_beta 90.00
_cell_angle_gamma 90.00
loop_
_atom_site_label
_atom_site_type_symbol
_atom_site_fract_x
_atom_site_fract_y
_atom_site_fract_z
Os1 Os 0.170 0.250 0.167
Ru1 Ru 0.164 0.250 0.834
Ru2 Ru 0.168 0.250 0.500
```

***

4.
Material: NdPuAgAu
Method: DFT, PBE
State: optimized geometry

Computed properties:
The total DFT energy (no corrections) is -105.81 eV for the cell shown. The calculation puts the formation energy at -306 meV per atom. As for the magnetic moment: 5.87 μB per formula unit.

```
data_NdPuAgAu
_chemical_formula_sum 'Nd4 Pu4 Ag4 Au4'
_symmetry_space_group_name_H-M 'F -4 3 m'
_symmetry_Int_Tables_number 216
_symmetry_space_group_name_Hall 'F -4 2 3'
_cell_length_a 7.399
_cell_length_b 7.399
_cell_length_c 7.399
_cell_angle_alpha 90.00
_cell_angle_beta 90.00
_cell_angle_gamma 90.00
loop_
_atom_site_label
_atom_site_type_symbol
_atom_site_fract_x
_atom_site_fract_y
_atom_site_fract_z
Nd1 Nd 0.000 0.000 0.000
Pu1 Pu 0.000 0.000 0.500
Ag1 Ag 0.250 0.250 0.750
Au1 Au 0.250 0.250 0.250
```

***

5.
Material: AlIr2Pb
Method: DFT, PBE
State: optimized geometry

Computed properties:
The calculation puts the offset from the most stable computed form at 13 meV per atom. The total DFT energy (no corrections) is -25.80 eV for the cell shown. The calculation puts the formation energy at -156 meV per atom. As for the magnetic moment: 0.00 μB per formula unit.

```
data_AlIr2Pb
_chemical_formula_sum 'Al1 Ir2 Pb1'
_symmetry_space_group_name_H-M 'P 4/m m m'
_symmetry_Int_Tables_number 123
_symmetry_space_group_name_Hall '-P 4 2'
_cell_length_a 3.061
_cell_length_b 3.061
_cell_length_c 7.134
_cell_angle_alpha 90.00
_cell_angle_beta 90.00
_cell_angle_gamma 90.00
loop_
_atom_site_label
_atom_site_type_symbol
_atom_site_fract_x
_atom_site_fract_y
_atom_site_fract_z
Al1 Al 0.000 0.000 0.000
Ir1 Ir 0.500 0.500 0.207
Pb1 Pb 0.000 0.000 0.500
```

***

6.
Material: CdCoNi2C
Method: DFT, PBE
State: optimized geometry

Computed properties:
The total DFT energy (no corrections) is -28.56 eV for the cell shown. The calculation puts the formation energy at 49 meV per atom. As for the magnetic moment: 0.00 μB per formula unit.

```
data_CdCoNi2C
_chemical_formula_sum 'Cd1 Co1 Ni2 C1'
_symmetry_space_group_name_H-M 'P 4/m m m'
_symmetry_Int_Tables_number 123
_symmetry_space_group_name_Hall '-P 4 2'
_cell_length_a 3.892
_cell_length_b 3.892
_cell_length_c 3.768
_cell_angle_alpha 90.00
_cell_angle_beta 90.00
_cell_angle_gamma 90.00
loop_
_atom_site_label
_atom_site_type_symbol
_atom_site_fract_x
_atom_site_fract_y
_atom_site_fract_z
Cd1 Cd 0.000 0.000 0.000
Co1 Co 0.500 0.500 0.000
Ni1 Ni 0.000 0.500 0.500
C1 C 0.500 0.500 0.500
```

***

7.
Material: Ac2LaDyS6
Method: DFT, PBE
State: optimized geometry

Computed properties:
The total DFT energy (no corrections) is -127.88 eV for the cell shown. As for the magnetic moment: 0.00 μB per formula unit. Its uncorrected formation energy is -2143.1 meV/atom.

```
data_Ac2LaDyS6
_chemical_formula_sum 'Ac4 La2 Dy2 S12'
_symmetry_space_group_name_H-M 'P 1 21/c 1'
_symmetry_Int_Tables_number 14
_symmetry_space_group_name_Hall '-P 2ybc'
_cell_length_a 7.069
_cell_length_b 7.645
_cell_length_c 12.470
_cell_angle_alpha 90.00
_cell_angle_beta 123.93
_cell_angle_gamma 90.00
loop_
_atom_site_label
_atom_site_type_symbol
_atom_site_fract_x
_atom_site_fract_y
_atom_site_fract_z
Ac1 Ac 0.218 0.084 0.250
La1 La 0.500 0.000 0.000
Dy1 Dy 0.000 0.000 0.500
S1 S 0.106 0.196 0.927
S2 S 0.238 0.686 0.930
S3 S 0.382 0.056 0.743
```

***

8.
Material: Nd3ScS4
Method: DFT, PBE
State: optimized geometry

Computed properties:
The total DFT energy (no corrections) is -158.59 eV for the cell shown. As for the magnetic moment: 0.00 μB per formula unit. Its uncorrected formation energy is -1964.6 meV/atom.

```
data_Nd3ScS4
_chemical_formula_sum 'Nd9 Sc3 S12'
_symmetry_space_group_name_H-M 'R -3 m'
_symmetry_Int_Tables_number 166
_symmetry_space_group_name_Hall '-R 3 2"'
_cell_length_a 3.9561
_cell_length_b 3.9561
_cell_length_c 39.4331
_cell_angle_alpha 90.00
_cell_angle_beta 90.00
_cell_angle_gamma 120.00
loop_
_atom_site_label
_atom_site_type_symbol
_atom_site_fract_x
_atom_site_fract_y
_atom_site_fract_z
Nd1 Nd 0.0000 0.0000 0.0000
Nd2 Nd 0.0000 0.0000 0.2464
Sc1 Sc 0.0000 0.0000 0.5000
S1 S 0.0000 0.0000 0.1317
S2 S 0.0000 0.0000 0.3770
```

***

9.
Material: K2CoI4
Method: DFT, PBE
State: optimized geometry

Computed properties:
The calculation puts the offset from the most stable computed form at 0 meV per atom. The total DFT energy (no corrections) is -42.97 eV for the cell shown. As for the magnetic moment: 3.00 μB per formula unit. Its uncorrected formation energy is -854.7 meV/atom.

```
data_K2CoI4
_chemical_formula_sum 'K4 Co2 I8'
_symmetry_space_group_name_H-M 'P 1 21/m 1'
_symmetry_Int_Tables_number 11
_symmetry_space_group_name_Hall '-P 2yb'
_cell_length_a 7.880
_cell_length_b 8.202
_cell_length_c 9.810
_cell_angle_alpha 90.00
_cell_angle_beta 108.11
_cell_angle_gamma 90.00
loop_
_atom_site_label
_atom_site_type_symbol
_atom_site_fract_x
_atom_site_fract_y
_atom_site_fract_z
K1 K 0.220 0.250 0.051
K2 K 0.262 0.250 0.569
Co1 Co 0.219 0.750 0.799
I1 I 0.005 0.502 0.740
I2 I 0.394 0.750 0.069
I3 I 0.414 0.750 0.630
```

***

10.
Material: Li2CeTl2
Method: DFT, PBE
State: optimized geometry

Computed properties:
The calculation puts the offset from the most stable computed form at 35 meV per atom. The total DFT energy (no corrections) is -45.68 eV for the cell shown. The calculation puts the formation energy at -146 meV per atom. As for the magnetic moment: 0.89 μB per formula unit.

```
data_Li2CeTl2
_chemical_formula_sum 'Li6 Ce3 Tl6'
_symmetry_space_group_name_H-M 'R -3 m'
_symmetry_Int_Tables_number 166
_symmetry_space_group_name_Hall '-R 3 2"'
_cell_length_a 4.7053
_cell_length_b 4.7053
_cell_length_c 19.6538
_cell_angle_alpha 90.00
_cell_angle_beta 90.00
_cell_angle_gamma 120.00
loop_
_atom_site_label
_atom_site_type_symbol
_atom_site_fract_x
_atom_site_fract_y
_atom_site_fract_z
Li1 Li 0.0000 0.0000 0.1890
Ce1 Ce 0.0000 0.0000 0.0000
Tl1 Tl 0.0000 0.0000 0.4244
```

***

11.
Material: ZnNi2As2
Method: DFT, PBE
State: optimized geometry

Computed properties:
The total DFT energy (no corrections) is -44.46 eV for the cell shown. The calculation puts the formation energy at -19 meV per atom. As for the magnetic moment: 0.00 μB per formula unit.

```
data_ZnNi2As2
_chemical_formula_sum 'Zn2 Ni4 As4'
_symmetry_space_group_name_H-M 'P 4/m b m'
_symmetry_Int_Tables_number 127
_symmetry_space_group_name_Hall '-P 4 2ab'
_cell_length_a 6.831
_cell_length_b 6.831
_cell_length_c 3.131
_cell_angle_alpha 90.00
_cell_angle_beta 90.00
_cell_angle_gamma 90.00
loop_
_atom_site_label
_atom_site_type_symbol
_atom_site_fract_x
_atom_site_fract_y
_atom_site_fract_z
Zn1 Zn 0.000 0.000 0.000
Ni1 Ni 0.133 0.367 0.000
As1 As 0.164 0.664 0.500
```

***

12.
Material: AcEuHoSn
Method: DFT, PBE
State: optimized geometry

Computed properties:
The total DFT energy (no corrections) is -94.21 eV for the cell shown. The calculation puts the formation energy at -147 meV per atom. As for the magnetic moment: 8.10 μB per formula unit.

```
data_AcEuHoSn
_chemical_formula_sum 'Ac4 Eu4 Ho4 Sn4'
_symmetry_space_group_name_H-M 'F -4 3 m'
_symmetry_Int_Tables_number 216
_symmetry_space_group_name_Hall 'F -4 2 3'
_cell_length_a 7.999
_cell_length_b 7.999
_cell_length_c 7.999
_cell_angle_alpha 90.00
_cell_angle_beta 90.00
_cell_angle_gamma 90.00
loop_
_atom_site_label
_atom_site_type_symbol
_atom_site_fract_x
_atom_site_fract_y
_atom_site_fract_z
Ac1 Ac 0.000 0.000 0.000
Eu1 Eu 0.250 0.250 0.250
Ho1 Ho 0.250 0.250 0.750
Sn1 Sn 0.000 0.000 0.500
```